(1)
# CsNpSe3

An optimized crystal structure of CsNpSe3 (PBE, Alexandria).

The space group is Pm-3m (No. 221) and the conventional cell measures 5.4981, 5.4981 and 5.4981 Å, with angles of 90.00, 90.00 and 90.00 degrees. The asymmetric unit holds Cs at (0.0000, 0.0000, 0.0000), Np at (0.5000, 0.5000, 0.5000) and Se at (0.0000, 0.5000, 0.5000).

For the distance to the lowest polymorph of the same formula, the calculation gives 0.000 eV per atom. The value obtained for the density of states at the Fermi level is 9.1 states/eV per cell. Its formation energy from raw total energies is -1.096 eV per atom. The value obtained for the spin magnetization is 1.994 μB per formula unit.



(2)
# Cs2NpSe4

An optimized crystal structure of Cs2NpSe4 (PBE, Alexandria).

The space group is P2/m (No. 10) and the conventional cell measures 7.8205, 4.2922 and 9.1077 Å, with angles of 90.00, 113.42 and 90.00 degrees. The asymmetric unit holds Cs at (0.2107, 0.0000, 0.3357), Np at (0.5000, 0.5000, 0.0000), Se at (0.2610, 0.0000, 0.9596) and Se at (0.4169, 0.5000, 0.6922).

For the distance to the lowest polymorph of the same formula, the calculation gives 0.087 eV per atom. The value obtained for the density of states at the Fermi level is 7.7 states/eV per cell. Its formation energy from raw total energies is -0.985 eV per atom. The value obtained for the spin magnetization is 0.967 μB per formula unit.



(3)
# CsNpSe2

An optimized crystal structure of CsNpSe2 (PBE, Alexandria).

The space group is P4/mmm (No. 123) and the conventional cell measures 3.6979, 3.6979 and 8.4983 Å, with angles of 90.00, 90.00 and 90.00 degrees. The asymmetric unit holds Cs at (0.0000, 0.0000, 0.0000), Np at (0.0000, 0.0000, 0.5000) and Se at (0.5000, 0.5000, 0.3073).

The value obtained for the density of states at the Fermi level is 6.7 states/eV per cell. Its formation energy from raw total energies is -1.089 eV per atom. The value obtained for the spin magnetization is 4.000 μB per formula unit.



(4)
# Cs5NpSe5

An optimized crystal structure of Cs5NpSe5 (PBE, Alexandria).

The space group is C2/m (No. 12) and the conventional cell measures 16.3586, 6.5840 and 9.6921 Å, with angles of 90.00, 110.56 and 90.00 degrees. The asymmetric unit holds Cs at (0.0000, 0.0000, 0.0000), Cs at (0.1685, 0.5000, 0.3307), Cs at (0.1986, 0.5000, 0.7980), Np at (0.0000, 0.0000, 0.5000), Se at (0.0000, 0.5000, 0.5000), Se at (0.1260, 0.0000, 0.3758) and Se at (0.1281, 0.0000, 0.7759).

The value obtained for the density of states at the Fermi level is 14.0 states/eV per cell. Its formation energy from raw total energies is -1.062 eV per atom. The value obtained for the spin magnetization is 2.000 μB per formula unit.



(5)
# CsNpSe3

An optimized crystal structure of CsNpSe3 (PBE, Alexandria).

The space group is C2/m (No. 12) and the conventional cell measures 13.5493, 5.5913 and 10.0134 Å, with angles of 90.00, 107.40 and 90.00 degrees. The asymmetric unit holds Cs at (0.1095, 0.0000, 0.3959), Np at (0.1283, 0.5000, 0.9237), Se at (0.0851, 0.5000, 0.1726), Se at (0.1287, 0.5000, 0.6632) and Se at (0.1562, 0.0000, 0.9429).

For the distance to the lowest polymorph of the same formula, the calculation gives 0.071 eV per atom. The value obtained for the density of states at the Fermi level is 35.9 states/eV per cell. Its formation energy from raw total energies is -1.026 eV per atom. The value obtained for the spin magnetization is 2.000 μB per formula unit.



(6)
# Cs2NpSe4

An optimized crystal structure of Cs2NpSe4 (PBE, Alexandria).

The space group is I4/mmm (No. 139) and the conventional cell measures 5.4776, 5.4776 and 18.1895 Å, with angles of 90.00, 90.00 and 90.00 degrees. The asymmetric unit holds Cs at (0.0000, 0.0000, 0.1472), Np at (0.0000, 0.0000, 0.5000), Se at (0.0000, 0.0000, 0.3557) and Se at (0.0000, 0.5000, 0.0000).

For the distance to the lowest polymorph of the same formula, the calculation gives 0.000 eV per atom. The value obtained for the density of states at the Fermi level is 12.5 states/eV per cell. Its formation energy from raw total energies is -1.072 eV per atom. The value obtained for the spin magnetization is 0.967 μB per formula unit.



(7)
# Cs3Sm2NpSe6

An optimized crystal structure of Cs3Sm2NpSe6 (PBE, Alexandria).

The space group is C2/m (No. 12) and the conventional cell measures 7.5511, 13.0611 and 8.7539 Å, with angles of 90.00, 106.64 and 90.00 degrees. The asymmetric unit holds Cs at (0.0000, 0.0000, 0.0000), Cs at (0.0000, 0.3318, 0.0000), Sm at (0.0000, 0.1659, 0.5000), Np at (0.0000, 0.5000, 0.5000), Se at (0.2289, 0.3341, 0.6876) and Se at (0.2306, 0.0000, 0.6887).

The value obtained for the density of states at the Fermi level is 12.6 states/eV per cell. Its formation energy from raw total energies is -1.554 eV per atom. The value obtained for the spin magnetization is 4.002 μB per formula unit.



(8)
# Cs3SmNp2Se6

An optimized crystal structure of Cs3SmNp2Se6 (PBE, Alexandria).

The space group is C2/m (No. 12) and the conventional cell measures 7.5180, 13.0216 and 8.7467 Å, with angles of 90.00, 106.65 and 90.00 degrees. The asymmetric unit holds Cs at (0.0000, 0.0000, 0.0000), Cs at (0.0000, 0.3346, 0.0000), Sm at (0.0000, 0.5000, 0.5000), Np at (0.0000, 0.1668, 0.5000), Se at (0.2258, 0.0000, 0.6863) and Se at (0.2304, 0.3319, 0.6869).

The value obtained for the density of states at the Fermi level is 39.4 states/eV per cell. Its formation energy from raw total energies is -1.388 eV per atom. The value obtained for the spin magnetization is 8.000 μB per formula unit.



(9)
# Cs3Sm3NpSe8

An optimized crystal structure of Cs3Sm3NpSe8 (PBE, Alexandria).

The space group is R-3m (No. 166, hexagonal axes) and the conventional cell measures 8.5792, 8.5792 and 25.6235 Å, with angles of 90.00, 90.00 and 120.00 degrees. The asymmetric unit holds Cs at (0.0000, 0.5000, 0.0000), Sm at (0.0000, 0.5000, 0.5000), Np at (0.0000, 0.0000, 0.5000), Se at (0.0000, 0.0000, 0.2292) and Se at (0.0095, 0.5048, 0.2275).

The value obtained for the density of states at the Fermi level is 11.4 states/eV per cell. Its formation energy from raw total energies is -1.613 eV per atom. The value obtained for the spin magnetization is 3.000 μB per formula unit.



(10)
# Cs3Np2SnSe6

An optimized crystal structure of Cs3Np2SnSe6 (PBE, Alexandria).

The space group is C2/m (No. 12) and the conventional cell measures 7.5729, 13.1022 and 8.6579 Å, with angles of 90.00, 106.86 and 90.00 degrees. The asymmetric unit holds Cs at (0.0000, 0.0000, 0.0000), Cs at (0.0000, 0.3403, 0.0000), Np at (0.0000, 0.1672, 0.5000), Sn at (0.0000, 0.5000, 0.5000), Se at (0.2103, 0.0000, 0.6828) and Se at (0.2376, 0.3245, 0.6861).

The value obtained for the density of states at the Fermi level is 39.7 states/eV per cell. Its formation energy from raw total energies is -1.114 eV per atom. The value obtained for the spin magnetization is 7.000 μB per formula unit.



(11)
# CsNpSnSe3

An optimized crystal structure of CsNpSnSe3 (PBE, Alexandria).

The space group is P2_1/m (No. 11) and the conventional cell measures 9.2983, 4.3045 and 11.6399 Å, with angles of 90.00, 109.49 and 90.00 degrees. The asymmetric unit holds Cs at (0.2253, 0.2500, 0.2615), Np at (0.3600, 0.7500, 0.8486), Sn at (0.1425, 0.2500, 0.5671), Se at (0.1284, 0.2500, 0.7947), Se at (0.3416, 0.7500, 0.5918) and Se at (0.4187, 0.7500, 0.1062).

The value obtained for the density of states at the Fermi level is 20.2 states/eV per cell. Its formation energy from raw total energies is -0.978 eV per atom. The value obtained for the spin magnetization is 3.904 μB per formula unit.



(12)
# Cs2NpSnSe4

An optimized crystal structure of Cs2NpSnSe4 (PBE, Alexandria).

The space group is I-4 (No. 82) and the conventional cell measures 8.2569, 8.2569 and 10.0286 Å, with angles of 90.00, 90.00 and 90.00 degrees. The asymmetric unit holds Cs at (0.0000, 0.0000, 0.0000), Cs at (0.0000, 0.5000, 0.2500), Np at (0.0000, 0.0000, 0.5000), Sn at (0.0000, 0.5000, 0.7500) and Se at (0.1652, 0.2455, 0.6205).

The value obtained for the density of states at the Fermi level is 11.8 states/eV per cell. Its formation energy from raw total energies is -0.856 eV per atom. The value obtained for the spin magnetization is 3.188 μB per formula unit.